# GGA-PBE DyCdRu, relaxed
# - DOS(E_F) (states/eV/cell) = 3.923
# - total magnetization (μB/cell) = 0.0
# - formation energy from the elements (eV per atom) = -0.14
# - uncorrected energy (eV/cell) = -30.408
data_DyCdRu
_chemical_formula_sum 'Dy2 Cd2 Ru2'
_space_group_name_H-M_alt 'I 4 m m'
_space_group_IT_number 107
_space_group_name_Hall 'I 4 -2'
_cell_length_a 3.480
_cell_length_b 3.480
_cell_length_c 10.281
_cell_angle_alpha 90.00
_cell_angle_beta 90.00
_cell_angle_gamma 90.00
loop_
_atom_site_label
_atom_site_type_symbol
_atom_site_fract_x
_atom_site_fract_y
_atom_site_fract_z
Dy1 Dy 0.000 0.000 0.000
Cd1 Cd 0.000 0.000 0.705
Ru1 Ru 0.000 0.000 0.353

# GGA-PBE Dy12CdRu6, relaxed
# - DOS(E_F) (states/eV/cell) = 27.587
# - total magnetization (μB/cell) = 0.0
# - relative energy among the computed polymorphs (eV per formula unit) = 1.41
# - formation energy from the elements (eV per atom) = -0.20
# - uncorrected energy (eV/cell) = -347.005
data_Dy12CdRu6
_chemical_formula_sum 'Dy36 Cd3 Ru18'
_space_group_name_H-M_alt 'R -3'
_space_group_IT_number 148
_space_group_name_Hall '-R 3'
_cell_length_a 13.7968
_cell_length_b 13.7968
_cell_length_c 8.9198
_cell_angle_alpha 90.00
_cell_angle_beta 90.00
_cell_angle_gamma 120.00
loop_
_atom_site_label
_atom_site_type_symbol
_atom_site_fract_x
_atom_site_fract_y
_atom_site_fract_z
Dy1 Dy 0.0406 0.7818 0.4246
Dy2 Dy 0.0590 0.8759 0.8290
Cd1 Cd 0.0000 0.0000 0.5000
Ru1 Ru 0.0806 0.5831 0.7883

# GGA-PBE Dy7CdRu4, relaxed
# - DOS(E_F) (states/eV/cell) = 16.961
# - total magnetization (μB/cell) = 0.0
# - formation energy from the elements (eV per atom) = -0.10
# - uncorrected energy (eV/cell) = -142.956
data_Dy7CdRu4
_chemical_formula_sum 'Dy14 Cd2 Ru8'
_space_group_name_H-M_alt 'C 1 2/m 1'
_space_group_IT_number 12
_cell_length_a 13.585
_cell_length_b 5.464
_cell_length_c 9.656
_cell_angle_alpha 90.00
_cell_angle_beta 126.44
_cell_angle_gamma 90.00
loop_
_space_group_symop_operation_xyz
'x,y,z'
'-x,-y,-z'
'-x,y,-z'
'x,-y,z'
'x+1/2,y+1/2,z'
'-x+1/2,-y+1/2,-z'
'-x+1/2,y+1/2,-z'
'x+1/2,-y+1/2,z'
loop_
_atom_site_label
_atom_site_type_symbol
_atom_site_fract_x
_atom_site_fract_y
_atom_site_fract_z
Dy1 Dy 0.000 0.000 0.000
Dy2 Dy 0.076 0.500 0.373
Dy3 Dy 0.180 0.000 0.632
Dy4 Dy 0.214 0.500 0.877
Cd1 Cd 0.000 0.500 0.000
Ru1 Ru 0.065 0.000 0.777
Ru2 Ru 0.199 0.000 0.347

# GGA-PBE Dy6CdRu2, relaxed
# - DOS(E_F) (states/eV/cell) = 17.165
# - total magnetization (μB/cell) = 0.0
# - relative energy among the computed polymorphs (eV per formula unit) = 1.03
# - formation energy from the elements (eV per atom) = -0.21
# - uncorrected energy (eV/cell) = -97.953
data_Dy6CdRu2
_chemical_formula_sum 'Dy12 Cd2 Ru4'
_space_group_name_H-M_alt 'C 1 2/m 1'
_space_group_IT_number 12
_cell_length_a 10.078
_cell_length_b 5.039
_cell_length_c 9.308
_cell_angle_alpha 90.00
_cell_angle_beta 101.26
_cell_angle_gamma 90.00
loop_
_space_group_symop_operation_xyz
'x,y,z'
'-x,-y,-z'
'-x,y,-z'
'x,-y,z'
'x+1/2,y+1/2,z'
'-x+1/2,-y+1/2,-z'
'-x+1/2,y+1/2,-z'
'x+1/2,-y+1/2,z'
loop_
_atom_site_label
_atom_site_type_symbol
_atom_site_fract_x
_atom_site_fract_y
_atom_site_fract_z
Dy1 Dy 0.036 0.000 0.341
Dy2 Dy 0.161 0.500 0.884
Dy3 Dy 0.218 0.500 0.342
Cd1 Cd 0.000 0.000 0.000
Ru1 Ru 0.111 0.500 0.597

# GGA-PBE DyScCdRu, relaxed
# - DOS(E_F) (states/eV/cell) = 3.212
# - total magnetization (μB/cell) = 0.0
# - relative energy among the computed polymorphs (eV per formula unit) = 0.00
# - formation energy from the elements (eV per atom) = -0.45
# - uncorrected energy (eV/cell) = -22.919
data_DyScCdRu
_chemical_formula_sum 'Dy1 Sc1 Cd1 Ru1'
_space_group_name_H-M_alt 'P 4 m m'
_space_group_IT_number 99
_cell_length_a 3.372
_cell_length_b 3.372
_cell_length_c 7.437
_cell_angle_alpha 90.00
_cell_angle_beta 90.00
_cell_angle_gamma 90.00
loop_
_space_group_symop_operation_xyz
'x,y,z'
'-y,x,z'
'-x,-y,z'
'y,-x,z'
'-x,y,z'
'y,x,z'
'x,-y,z'
'-y,-x,z'
loop_
_atom_site_label
_atom_site_type_symbol
_atom_site_fract_x
_atom_site_fract_y
_atom_site_fract_z
Dy1 Dy 0.000 0.000 0.000
Sc1 Sc 0.000 0.000 0.571
Cd1 Cd 0.500 0.500 0.308
Ru1 Ru 0.500 0.500 0.767

# GGA-PBE DyScCdRu, relaxed
# - DOS(E_F) (states/eV/cell) = 16.938
# - total magnetization (μB/cell) = 0.0
# - relative energy among the computed polymorphs (eV per formula unit) = 0.56
# - formation energy from the elements (eV per atom) = -0.31
# - uncorrected energy (eV/cell) = -89.454
data_DyScCdRu
_chemical_formula_sum 'Dy4 Sc4 Cd4 Ru4'
_space_group_name_H-M_alt 'F -4 3 m'
_space_group_IT_number 216
_space_group_name_Hall 'F -4 2 3'
_cell_length_a 6.926
_cell_length_b 6.926
_cell_length_c 6.926
_cell_angle_alpha 90.00
_cell_angle_beta 90.00
_cell_angle_gamma 90.00
loop_
_atom_site_label
_atom_site_type_symbol
_atom_site_fract_x
_atom_site_fract_y
_atom_site_fract_z
Dy1 Dy 0.000 0.000 0.000
Sc1 Sc 0.000 0.000 0.500
Cd1 Cd 0.250 0.250 0.250
Ru1 Ru 0.250 0.250 0.750

# GGA-PBE SmDyCdRu, relaxed
# - DOS(E_F) (states/eV/cell) = 13.069
# - total magnetization (μB/cell) = 0.0
# - relative energy among the computed polymorphs (eV per formula unit) = 0.41
# - formation energy from the elements (eV per atom) = -0.25
# - uncorrected energy (eV/cell) = -82.012
data_SmDyCdRu
_chemical_formula_sum 'Sm4 Dy4 Cd4 Ru4'
_space_group_name_H-M_alt 'F -4 3 m'
_space_group_IT_number 216
_space_group_name_Hall 'F -4 2 3'
_cell_length_a 7.189
_cell_length_b 7.189
_cell_length_c 7.189
_cell_angle_alpha 90.00
_cell_angle_beta 90.00
_cell_angle_gamma 90.00
loop_
_atom_site_label
_atom_site_type_symbol
_atom_site_fract_x
_atom_site_fract_y
_atom_site_fract_z
Sm1 Sm 0.000 0.000 0.000
Dy1 Dy 0.000 0.000 0.500
Cd1 Cd 0.250 0.250 0.750
Ru1 Ru 0.250 0.250 0.250

# GGA-PBE SmDyCdRu, relaxed
# - DOS(E_F) (states/eV/cell) = 3.647
# - total magnetization (μB/cell) = 0.0
# - relative energy among the computed polymorphs (eV per formula unit) = 0.00
# - formation energy from the elements (eV per atom) = -0.35
# - uncorrected energy (eV/cell) = -20.915
data_SmDyCdRu
_chemical_formula_sum 'Sm1 Dy1 Cd1 Ru1'
_space_group_name_H-M_alt 'P 4 m m'
_space_group_IT_number 99
_cell_length_a 3.496
_cell_length_b 3.496
_cell_length_c 7.775
_cell_angle_alpha 90.00
_cell_angle_beta 90.00
_cell_angle_gamma 90.00
loop_
_space_group_symop_operation_xyz
'x,y,z'
'-y,x,z'
'-x,-y,z'
'y,-x,z'
'-x,y,z'
'y,x,z'
'x,-y,z'
'-y,-x,z'
loop_
_atom_site_label
_atom_site_type_symbol
_atom_site_fract_x
_atom_site_fract_y
_atom_site_fract_z
Sm1 Sm 0.000 0.000 0.000
Dy1 Dy 0.000 0.000 0.569
Cd1 Cd 0.500 0.500 0.293
Ru1 Ru 0.500 0.500 0.778

# GGA-PBE DyThCdRu, relaxed
# - DOS(E_F) (states/eV/cell) = 12.060
# - total magnetization (μB/cell) = 0.0
# - formation energy from the elements (eV per atom) = -0.21
# - uncorrected energy (eV/cell) = -92.260
data_DyThCdRu
_chemical_formula_sum 'Dy4 Th4 Cd4 Ru4'
_space_group_name_H-M_alt 'F -4 3 m'
_space_group_IT_number 216
_space_group_name_Hall 'F -4 2 3'
_cell_length_a 7.270
_cell_length_b 7.270
_cell_length_c 7.270
_cell_angle_alpha 90.00
_cell_angle_beta 90.00
_cell_angle_gamma 90.00
loop_
_atom_site_label
_atom_site_type_symbol
_atom_site_fract_x
_atom_site_fract_y
_atom_site_fract_z
Dy1 Dy 0.000 0.000 0.000
Th1 Th 0.000 0.000 0.500
Cd1 Cd 0.250 0.250 0.250
Ru1 Ru 0.250 0.250 0.750

# GGA-PBE DyYCdRu, relaxed
# - DOS(E_F) (states/eV/cell) = 3.501
# - total magnetization (μB/cell) = 0.0
# - relative energy among the computed polymorphs (eV per formula unit) = 0.00
# - formation energy from the elements (eV per atom) = -0.40
# - uncorrected energy (eV/cell) = -22.857
data_DyYCdRu
_chemical_formula_sum 'Dy1 Y1 Cd1 Ru1'
_space_group_name_H-M_alt 'P 4 m m'
_space_group_IT_number 99
_cell_length_a 3.473
_cell_length_b 3.473
_cell_length_c 7.660
_cell_angle_alpha 90.00
_cell_angle_beta 90.00
_cell_angle_gamma 90.00
loop_
_space_group_symop_operation_xyz
'x,y,z'
'-y,x,z'
'-x,-y,z'
'y,-x,z'
'-x,y,z'
'y,x,z'
'x,-y,z'
'-y,-x,z'
loop_
_atom_site_label
_atom_site_type_symbol
_atom_site_fract_x
_atom_site_fract_y
_atom_site_fract_z
Dy1 Dy 0.000 0.000 0.000
Y1 Y 0.000 0.000 0.432
Cd1 Cd 0.500 0.500 0.716
Ru1 Ru 0.500 0.500 0.213

# GGA-PBE DyYCdRu, relaxed
# - DOS(E_F) (states/eV/cell) = 15.765
# - total magnetization (μB/cell) = 0.0
# - relative energy among the computed polymorphs (eV per formula unit) = 0.43
# - formation energy from the elements (eV per atom) = -0.29
# - uncorrected energy (eV/cell) = -89.700
data_DyYCdRu
_chemical_formula_sum 'Dy4 Y4 Cd4 Ru4'
_space_group_name_H-M_alt 'F -4 3 m'
_space_group_IT_number 216
_space_group_name_Hall 'F -4 2 3'
_cell_length_a 7.124
_cell_length_b 7.124
_cell_length_c 7.124
_cell_angle_alpha 90.00
_cell_angle_beta 90.00
_cell_angle_gamma 90.00
loop_
_atom_site_label
_atom_site_type_symbol
_atom_site_fract_x
_atom_site_fract_y
_atom_site_fract_z
Dy1 Dy 0.000 0.000 0.000
Y1 Y 0.000 0.000 0.500
Cd1 Cd 0.250 0.250 0.750
Ru1 Ru 0.250 0.250 0.250

# GGA-PBE Dy2Zn5CdRu2, relaxed
# - DOS(E_F) (states/eV/cell) = 12.678
# - total magnetization (μB/cell) = 0.0
# - formation energy from the elements (eV per atom) = -0.18
# - uncorrected energy (eV/cell) = -73.746
data_Dy2Zn5CdRu2
_chemical_formula_sum 'Dy4 Zn10 Cd2 Ru4'
_space_group_name_H-M_alt 'P 4/m b m'
_space_group_IT_number 127
_space_group_name_Hall '-P 4 2ab'
_cell_length_a 9.456
_cell_length_b 9.456
_cell_length_c 4.149
_cell_angle_alpha 90.00
_cell_angle_beta 90.00
_cell_angle_gamma 90.00
loop_
_atom_site_label
_atom_site_type_symbol
_atom_site_fract_x
_atom_site_fract_y
_atom_site_fract_z
Dy1 Dy 0.175 0.325 0.000
Zn1 Zn 0.000 0.500 0.500
Zn2 Zn 0.064 0.786 0.500
Cd1 Cd 0.000 0.000 0.000
Ru1 Ru 0.121 0.621 0.000